1.
Compound: YReW
Source: Alexandria via LeMat-Bulk
Functional: PBE
Structure: optimized geometry

E_tot = -10.19 eV/atom
Formation energy = 0.4341 eV per atom

a b c (Å): 4.621 4.621 3.023
angles (deg): 90.00 90.00 120.00
Sites, in units of the cell vectors:
Re1 0.000 0.000 0.041
Y1 0.333 0.667 0.672
W1 0.667 0.333 0.288



2.
Compound: La9ThSn2
Source: Alexandria via LeMat-Bulk
Functional: PBE
Structure: optimized geometry

E_tot = -5.29 eV/atom
Formation energy = -0.3041 eV per atom

a b c (Å): 5.072 5.072 15.329
angles (deg): 90.00 90.00 90.00
Sites, in units of the cell vectors:
La1 0.500 0.000 0.500
La2 0.000 0.500 0.169
La3 0.500 0.000 0.831
La4 0.500 0.500 0.000
La5 0.000 0.500 0.500
La6 0.500 0.500 0.662
La7 0.500 0.500 0.338
La8 0.000 0.500 0.831
La9 0.500 0.000 0.169
Sn1 0.000 0.000 0.335
Sn2 0.000 0.000 0.665
Th1 0.000 0.000 0.000



Which formula does entry 1 have?
YReW



What did the second record say?
Compound: La9ThSn2
Source: Alexandria via LeMat-Bulk
Functional: PBE
Structure: optimized geometry

E_tot = -5.29 eV/atom
Formation energy = -0.3041 eV per atom

a b c (Å): 5.072 5.072 15.329
angles (deg): 90.00 90.00 90.00
Sites, in units of the cell vectors:
La1 0.500 0.000 0.500
La2 0.000 0.500 0.169
La3 0.500 0.000 0.831
La4 0.500 0.500 0.000
La5 0.000 0.500 0.500
La6 0.500 0.500 0.662
La7 0.500 0.500 0.338
La8 0.000 0.500 0.831
La9 0.500 0.000 0.169
Sn1 0.000 0.000 0.335
Sn2 0.000 0.000 0.665
Th1 0.000 0.000 0.000



What is the formula in the second record?
La9ThSn2



Among the records above, which one has the lowest E_tot?
YReW